Version 1
## Dy4Mg3Al (GGA-PBE)

Data for a geometry-optimized Dy4Mg3Al structure.

D(E_F): 1.04 states/eV per atom

Cell: 9.155 9.155 9.155 Å, 33.52 33.52 33.52°
Atoms (fractional coordinates):
Dy: 0.122 0.122 0.122
Dy: 0.372 0.372 0.372
Dy: 0.628 0.628 0.628
Dy: 0.878 0.878 0.878
Mg: 0.247 0.247 0.247
Mg: 0.500 0.500 0.500
Mg: 0.753 0.753 0.753
Al: 0.000 0.000 0.000

=====

Version 2
## Dy4Mg3Al (GGA-PBE)

Data for a geometry-optimized Dy4Mg3Al structure.

D(E_F): 0.91 states/eV per atom

Cell: 3.418 4.978 12.490 Å, 90.00 90.00 90.00°
Atoms (fractional coordinates):
Dy: 0.000 0.000 0.000
Dy: 0.000 0.500 0.327
Dy: 0.500 0.000 0.484
Dy: 0.500 0.500 0.837
Mg: 0.000 0.000 0.727
Mg: 0.000 0.500 0.595
Mg: 0.500 0.500 0.101
Al: 0.500 0.000 0.229

=====

version 1 ends up most stable, edging out the next structure by 73 meV per atom.

=====

Version 1
## DyNbAl2 (GGA-PBE)

Data for a geometry-optimized DyNbAl2 structure.

D(E_F): 0.53 states/eV per atom

Cell: 3.535 3.535 6.374 Å, 90.00 90.00 90.00°
Atoms (fractional coordinates):
Dy: 0.000 0.000 0.000
Nb: 0.000 0.000 0.500
Al: 0.500 0.500 0.296
Al: 0.500 0.500 0.704

=====

Version 2
## DyNbAl2 (GGA-PBE)

Data for a geometry-optimized DyNbAl2 structure.

D(E_F): 0.84 states/eV per atom

Cell: 3.076 3.076 29.671 Å, 90.00 90.00 120.00°
Atoms (fractional coordinates):
Dy: 0.000 0.000 0.000
Dy: 0.333 0.667 0.667
Dy: 0.667 0.333 0.333
Nb: 0.000 0.000 0.500
Nb: 0.333 0.667 0.167
Nb: 0.667 0.333 0.833
Al: 0.000 0.000 0.242
Al: 0.000 0.000 0.758
Al: 0.333 0.667 0.424
Al: 0.333 0.667 0.909
Al: 0.667 0.333 0.091
Al: 0.667 0.333 0.576

=====

version 1 ends up most stable, edging out the next structure by 242 meV per atom.

=====

Version 1
## NdDy4Al2 (GGA-PBE)

Data for a geometry-optimized NdDy4Al2 structure.

D(E_F): 1.38 states/eV per atom

Cell: 5.663 5.663 12.733 Å, 90.00 90.00 90.00°
Atoms (fractional coordinates):
Nd: 0.000 0.000 0.000
Nd: 0.500 0.500 0.500
Dy: 0.000 0.500 0.000
Dy: 0.000 0.500 0.250
Dy: 0.000 0.500 0.500
Dy: 0.000 0.500 0.750
Dy: 0.500 0.000 0.000
Dy: 0.500 0.000 0.250
Dy: 0.500 0.000 0.500
Dy: 0.500 0.000 0.750
Al: 0.000 0.000 0.385
Al: 0.000 0.000 0.615
Al: 0.500 0.500 0.115
Al: 0.500 0.500 0.885

=====

Version 2
## NdDy4Al2 (GGA-PBE)

Data for a geometry-optimized NdDy4Al2 structure.

D(E_F): 0.72 states/eV per atom

Cell: 8.426 8.426 8.426 Å, 36.82 36.82 36.82°
Atoms (fractional coordinates):
Nd: 0.000 0.000 0.000
Dy: 0.154 0.154 0.154
Dy: 0.419 0.419 0.419
Dy: 0.581 0.581 0.581
Dy: 0.846 0.846 0.846
Al: 0.282 0.282 0.282
Al: 0.718 0.718 0.718

=====

version 2 ends up most stable, edging out the next structure by 466 meV per atom.

=====

Version 1
## NdDy3Al8 (GGA-PBE)

Data for a geometry-optimized NdDy3Al8 structure.

D(E_F): 0.47 states/eV per atom

Cell: 5.582 5.582 9.181 Å, 90.00 90.00 120.00°
Atoms (fractional coordinates):
Nd: 0.000 0.000 0.000
Dy: 0.000 0.000 0.364
Dy: 0.667 0.333 0.499
Dy: 0.667 0.333 0.863
Al: 0.162 0.324 0.680
Al: 0.162 0.838 0.680
Al: 0.333 0.667 0.433
Al: 0.333 0.667 0.931
Al: 0.505 0.009 0.185
Al: 0.505 0.495 0.185
Al: 0.676 0.838 0.680
Al: 0.991 0.495 0.185

=====

Version 2
## NdDy3Al8 (GGA-PBE)

Data for a geometry-optimized NdDy3Al8 structure.

D(E_F): 0.88 states/eV per atom

Cell: 9.717 9.717 9.717 Å, 33.40 33.40 33.40°
Atoms (fractional coordinates):
Nd: 0.000 0.000 0.000
Dy: 0.375 0.375 0.375
Dy: 0.499 0.499 0.499
Dy: 0.875 0.875 0.875
Al: 0.187 0.187 0.187
Al: 0.437 0.437 0.936
Al: 0.437 0.936 0.437
Al: 0.439 0.938 0.938
Al: 0.688 0.688 0.688
Al: 0.936 0.437 0.437
Al: 0.938 0.439 0.938
Al: 0.938 0.938 0.439

=====

version 2 ends up most stable, edging out the next structure by 9 meV per atom.

=====

Version 1
## Nd2DyAl (GGA-PBE)

Data for a geometry-optimized Nd2DyAl structure.

D(E_F): 1.26 states/eV per atom

Cell: 3.675 3.675 32.016 Å, 90.00 90.00 120.00°
Atoms (fractional coordinates):
Nd: 0.000 0.000 0.000
Nd: 0.000 0.000 0.187
Nd: 0.333 0.667 0.667
Nd: 0.333 0.667 0.854
Nd: 0.667 0.333 0.333
Nd: 0.667 0.333 0.520
Dy: 0.000 0.000 0.427
Dy: 0.333 0.667 0.094
Dy: 0.667 0.333 0.760
Al: 0.000 0.000 0.593
Al: 0.333 0.667 0.260
Al: 0.667 0.333 0.926

=====

Version 2
## Nd2DyAl (GGA-PBE)

Data for a geometry-optimized Nd2DyAl structure.

D(E_F): 0.99 states/eV per atom

Cell: 5.358 7.014 12.209 Å, 90.00 90.00 90.00°
Atoms (fractional coordinates):
Nd: 0.000 0.000 0.000
Nd: 0.000 0.233 0.234
Nd: 0.000 0.267 0.734
Nd: 0.000 0.500 0.500
Nd: 0.000 0.733 0.734
Nd: 0.000 0.767 0.234
Nd: 0.500 0.000 0.645
Nd: 0.500 0.500 0.145
Dy: 0.500 0.234 0.410
Dy: 0.500 0.266 0.910
Dy: 0.500 0.734 0.910
Dy: 0.500 0.766 0.410
Al: 0.000 0.000 0.485
Al: 0.000 0.500 0.985
Al: 0.500 0.000 0.156
Al: 0.500 0.500 0.656

=====

version 2 ends up most stable, edging out the next structure by 162 meV per atom.

=====

Version 1
## Nd2DyAl (GGA-PBE)

Data for a geometry-optimized Nd2DyAl structure.

D(E_F): 1.67 states/eV per atom

Cell: 7.723 7.723 7.723 Å, 90.00 90.00 90.00°
Atoms (fractional coordinates):
Nd: 0.250 0.250 0.250
Nd: 0.250 0.250 0.750
Nd: 0.250 0.750 0.250
Nd: 0.250 0.750 0.750
Nd: 0.750 0.250 0.250
Nd: 0.750 0.250 0.750
Nd: 0.750 0.750 0.250
Nd: 0.750 0.750 0.750
Dy: 0.000 0.000 0.000
Dy: 0.000 0.500 0.500
Dy: 0.500 0.000 0.500
Dy: 0.500 0.500 0.000
Al: 0.000 0.000 0.500
Al: 0.000 0.500 0.000
Al: 0.500 0.000 0.000
Al: 0.500 0.500 0.500

=====

Version 2
## Nd2DyAl (GGA-PBE)

Data for a geometry-optimized Nd2DyAl structure.

D(E_F): 1.54 states/eV per atom

Cell: 4.852 4.852 4.875 Å, 90.00 90.00 90.00°
Atoms (fractional coordinates):
Nd: 0.000 0.500 0.000
Nd: 0.500 0.000 0.000
Dy: 0.000 0.000 0.500
Al: 0.500 0.500 0.500

=====

Version 3
## Nd2DyAl (GGA-PBE)

Data for a geometry-optimized Nd2DyAl structure.

D(E_F): 1.00 states/eV per atom

Cell: 3.581 3.581 9.287 Å, 90.00 90.00 90.00°
Atoms (fractional coordinates):
Nd: 0.000 0.000 0.216
Nd: 0.000 0.000 0.784
Dy: 0.500 0.500 0.500
Al: 0.500 0.500 0.000

=====

version 2 ends up most stable, edging out the next structure by 28 meV per atom.